A plane-wave DFT calculation with GGA-PBE was carried out for crystalline Ac3La12Mg at its relaxed geometry.

a b c (Å): 5.3200 5.3200 21.0962
angles (deg): 90.00 90.00 90.00
With the nearest neighbours (Å) after each atom.
Space group P4/mmm (No. 123)
One atom of each set of equivalent atoms:
Ac: 0.0000 0.0000 0.0000 x1  12 La 3.76-3.78
Ac: 0.0000 0.0000 0.2561 x2  12 La 3.75-3.80
La: 0.0000 0.5000 0.1275 x4  8 La 3.76-3.81, 4 Ac 3.78-3.80
La: 0.0000 0.5000 0.3811 x4  8 La 3.66-3.76, 2 Mg 3.66, 2 Ac 3.75
La: 0.5000 0.5000 0.0000 x1  4 Ac 3.76, 8 La 3.78
La: 0.5000 0.5000 0.2569 x2  8 La 3.73-3.81, 4 Ac 3.76
La: 0.5000 0.5000 0.5000 x1  8 La 3.66, 4 Mg 3.76
Mg: 0.0000 0.0000 0.5000 x1  12 La 3.66-3.76

E_form: 0.005 eV/atom
V: 597.1 Å³/cell
Total DFT energy (no corrections): -72.97 eV for the cell shown